A PBEsol-optimized structure of RbYPS2, computed with SCAN.

Cell: 5.258 5.258 5.400 Å, 90.00 90.00 90.00°
Site moments in Bohr magnetons follow the coordinates.
Fractional coordinates of all 5 atoms:
Y1 0.000 0.000 0.000  0.00
P1 0.000 0.000 0.500  0.78
Rb1 0.500 0.500 0.500  0.01
S1 0.500 0.000 0.000  0.34
S2 0.000 0.500 0.000  0.34

total energy	-16.5031	eV per atom
crystal system	tetragonal


A PBEsol-optimized structure of LaAl2Ag2, computed with SCAN.

Cell: 4.329 4.329 6.355 Å, 109.91 109.91 90.00°
Fractional coordinates of all 5 atoms:
Ag1 0.621 0.621 0.242
Ag2 0.379 0.379 0.758
Al1 0.750 0.250 0.500
Al2 0.250 0.750 0.500
La1 0.000 0.000 0.000

E_form	-0.4502	eV/atom
crystal system	tetragonal


A PBEsol-optimized structure of Ce, computed with SCAN.

Cell: 3.027 3.403 5.131 Å, 90.00 90.00 116.40°
Fractional coordinates of all 2 atoms:
Ce1 0.096 0.193 0.750
Ce2 0.904 0.807 0.250

relative energy among the computed polymorphs	36	meV per atom
E_form	0.0359	eV/atom
crystal system	orthorhombic


A PBEsol-optimized structure of BeCl3, computed with SCAN.

Cell: 2.894 2.894 9.327 Å, 90.00 90.00 90.00°
Fractional coordinates of all 4 atoms:
Be1 0.000 0.000 0.000
Cl1 0.500 0.500 0.848
Cl2 0.500 0.500 0.152
Cl3 0.000 0.000 0.500

relative energy among the computed polymorphs	564	meV per atom
crystal system	tetragonal


A PBEsol-optimized structure of TaP3H, computed with SCAN.

Cell: 3.908 3.908 3.908 Å, 90.00 90.00 90.00°
Fractional coordinates of all 5 atoms:
P1 0.500 0.000 0.000
P2 0.000 0.500 0.000
P3 0.000 0.000 0.500
Ta1 0.500 0.500 0.500
H1 0.000 0.000 0.000

total energy	-19.5196	eV per atom
crystal system	cubic


A PBEsol-optimized structure of Li2NbAlIr, computed with SCAN.

Cell: 4.113 4.113 4.910 Å, 90.00 90.00 90.00°
Fractional coordinates of all 5 atoms:
Nb1 0.000 0.000 0.500
Al1 0.000 0.000 0.000
Li1 0.500 0.000 0.000
Li2 0.000 0.500 0.000
Ir1 0.500 0.500 0.500

E_form	0.9927	eV/atom
crystal system	tetragonal


A PBEsol-optimized structure of CdTc2W, computed with SCAN.

Cell: 2.789 3.991 5.627 Å, 90.00 90.00 90.00°
Fractional coordinates of all 4 atoms:
Cd1 0.500 0.500 0.754
Tc1 0.000 0.000 0.033
Tc2 0.500 0.500 0.246
W1 0.000 0.000 0.467

E_form	0.3562	eV/atom
crystal system	orthorhombic


A PBEsol-optimized structure of Cu2NiAg, computed with SCAN.

Cell: 2.555 4.923 4.923 Å, 117.89 102.11 102.11°
Fractional coordinates of all 4 atoms:
Ag1 0.500 0.500 0.500
Ni1 0.500 0.000 0.000
Cu1 0.000 0.000 0.500
Cu2 0.000 0.500 0.000

E_form	0.2429	eV/atom
crystal system	monoclinic


A PBEsol-optimized structure of Sb9PO25, computed with SCAN.

Cell: 3.923 10.996 10.996 Å, 88.18 79.72 79.72°
Fractional coordinates of all 35 atoms:
Sb1 0.907 0.795 0.448
Sb2 0.645 0.448 0.205
Sb3 0.150 0.205 0.552
Sb4 0.805 0.119 0.324
Sb5 0.248 0.881 0.676
Sb6 0.298 0.552 0.795
Sb7 0.871 0.324 0.881
Sb8 0.000 0.000 0.000
Sb9 0.076 0.676 0.119
O1 0.421 0.494 0.617
O2 0.822 0.501 0.793
O3 0.974 0.242 0.721
O4 0.790 0.846 0.633
O5 0.085 0.383 0.494
O6 0.891 0.020 0.181
O7 0.677 0.207 0.501
O8 0.152 0.581 0.969
O9 0.500 0.000 0.000
O10 0.577 0.633 0.154
O11 0.532 0.506 0.383
O12 0.267 0.031 0.581
O13 0.269 0.154 0.367
O14 0.938 0.758 0.279
O15 0.364 0.367 0.846
O16 0.784 0.279 0.242
O17 0.385 0.793 0.499
O18 0.879 0.969 0.419
O19 0.702 0.419 0.031
O20 0.090 0.819 0.020
O21 0.092 0.980 0.819
O22 0.117 0.499 0.207
O23 0.928 0.181 0.980
O24 0.304 0.721 0.758
O25 0.962 0.617 0.506
P1 0.250 0.500 0.500

total energy	-15.7472	eV per atom
crystal system	tetragonal


A PBEsol-optimized structure of CrTcRhAu2, computed with SCAN.

Cell: 4.249 4.737 4.737 Å, 90.00 90.00 90.00°
Site moments in Bohr magnetons follow the coordinates.
Fractional coordinates of all 5 atoms:
Cr1 0.000 0.000 0.000  2.71
Au1 0.000 0.000 0.500  0.14
Au2 0.000 0.500 0.000  0.14
Rh1 0.500 0.000 0.000  -0.16
Tc1 0.500 0.500 0.500  3.76

E_form	1.2416	eV/atom
crystal system	tetragonal


A PBEsol-optimized structure of CaRuSe2, computed with SCAN.

Cell: 3.852 5.019 5.019 Å, 68.38 67.43 67.43°
Fractional coordinates of all 4 atoms:
Ru1 0.000 0.500 0.500
Se1 0.704 0.296 0.296
Se2 0.296 0.704 0.704
Ca1 0.500 0.000 0.000

relative energy among the computed polymorphs	314	meV per atom
crystal system	orthorhombic


A PBEsol-optimized structure of Sb5C, computed with SCAN.

Cell: 3.235 6.634 7.675 Å, 107.78 102.16 90.00°
Fractional coordinates of all 6 atoms:
Sb1 0.428 0.840 0.855
Sb2 0.598 0.659 0.195
Sb3 0.620 0.218 0.240
Sb4 0.924 0.343 0.847
Sb5 0.262 0.001 0.524
C1 0.002 0.105 0.004

relative energy among the computed polymorphs	79	meV per atom
crystal system	monoclinic


M_tot per entry: 2.83; 0.00; 0.00; 0.00; 0.00; 0.00; 0.00; 0.00; 0.05; 6.71; 0.00; 0.00 μB per formula unit